# 1
VASP calculation (PBE-GGA) on crystalline SrAcLa at its relaxed geometry.

Cell lengths 3.8202, 3.8202, 31.9247 Å; angles 90.00, 90.00, 120.00 degrees
Closest atoms and distances in Å follow each position.
Space group R3m (No. 160, hexagonal axes)
Asymmetric unit:
Sr: 0.0000 0.0000 0.0000 [3 per cell]  1 La 3.73, 6 Sr 3.82, 3 Ac 4.05
Ac: 0.0000 0.0000 0.7731 [3 per cell]  1 La 3.52, 6 Ac 3.82
La: 0.0000 0.0000 0.8833 [3 per cell]  1 Ac 3.52, 1 Sr 3.73, 6 La 3.82

ΔE to the lowest computed polymorph (eV per formula unit): 0.76
Calculated formation energy (eV/atom): 0.290

# 2
VASP calculation (PBE-GGA) on crystalline ScMnAlGa at its relaxed geometry.

Cell lengths 6.3739, 6.3739, 6.3739 Å; angles 90.00, 90.00, 90.00 degrees
Closest atoms and distances in Å follow each position.
Space group F-43m (No. 216)
Asymmetric unit:
Sc: 0.0000 0.0000 0.0000 [4 per cell]  4 Al 2.76, 4 Ga 2.76
Mn: 0.0000 0.0000 0.5000 [4 per cell]  4 Al 2.76, 4 Ga 2.76
Al: 0.2500 0.2500 0.7500 [4 per cell]  4 Mn 2.76, 4 Sc 2.76
Ga: 0.2500 0.2500 0.2500 [4 per cell]  4 Mn 2.76, 4 Sc 2.76

Calculated formation energy (eV/atom): -0.240

# 3
VASP calculation (PBE-GGA) on crystalline Pr2ErBi2O2 at its relaxed geometry.

Cell lengths 4.3922, 4.3922, 16.9721 Å; angles 90.00, 90.00, 90.00 degrees
Closest atoms and distances in Å follow each position.
Space group I4/mmm (No. 139)
Asymmetric unit:
Pr: 0.0000 0.0000 0.1095 [4 per cell]  4 O 2.88
Er: 0.0000 0.0000 0.5000 [2 per cell]  4 O 2.20
Bi: 0.0000 0.0000 0.3105 [4 per cell]  1 Er 3.22, 5 Pr 3.39-3.41
O: 0.0000 0.5000 0.0000 [4 per cell]  2 Er 2.20

E_form (uncorrected) (eV per atom): -1.8883

# 4
VASP calculation (PBE-GGA) on crystalline NpBe3Au10 at its relaxed geometry.

Cell lengths 12.4763, 12.4763, 12.4763 Å; angles 90.00, 90.00, 90.00 degrees
Closest atoms and distances in Å follow each position.
Space group Fm-3m (No. 225)
Asymmetric unit:
Np: 0.2500 0.2500 0.2500 [8 per cell]  4 Au 2.96
Be: 0.0000 0.0000 0.2361 [24 per cell]  8 Au 2.42-2.52
Au: 0.0000 0.1693 0.3307 [48 per cell]  2 Be 2.42
Au: 0.1131 0.1131 0.1131 [32 per cell]  3 Be 2.52

Calculated formation energy (eV/atom): -0.122

# 5
VASP calculation (PBE-GGA) on crystalline Tb6Ce2HoEr3 at its relaxed geometry.

Cell lengths 6.1228, 10.6022, 11.7266 Å; angles 90.00, 100.04, 90.00 degrees
Closest atoms and distances in Å follow each position.
Space group C2/m (No. 12)
Asymmetric unit:
Tb: 0.2487 0.0000 0.2500 [4 per cell]  6 Tb 3.52-3.55, 3 Er 3.53, 2 Ce 3.53, 1 Ho 3.54
Tb: 0.2486 0.1676 0.7502 [8 per cell]  6 Tb 3.52-3.55, 2 Ce 3.53, 3 Er 3.53-3.54, 1 Ho 3.54
Ce: 0.0000 0.1665 0.0000 [4 per cell]  6 Tb 3.53, 3 Ce 3.53-3.54, 3 Ho 3.53-3.54
Ho: 0.0000 0.5000 0.0000 [2 per cell]  6 Ce 3.53-3.54, 6 Tb 3.54
Er: 0.0000 0.0000 0.5000 [2 per cell]  6 Tb 3.53-3.54, 6 Er 3.53-3.54
Er: 0.0000 0.3338 0.5000 [4 per cell]  6 Er 3.52-3.54, 6 Tb 3.53-3.54

Calculated formation energy (eV/atom): 0.048

# 6
VASP calculation (PBE-GGA) on crystalline FeMo2Se at its relaxed geometry.

Cell lengths 2.9532, 2.9532, 24.2734 Å; angles 90.00, 90.00, 120.00 degrees
Closest atoms and distances in Å follow each position.
Space group R-3m (No. 166, hexagonal axes)
Asymmetric unit:
Fe: 0.0000 0.0000 0.0000 [3 per cell]  6 Mo 2.63
Mo: 0.0000 0.0000 0.2511 [6 per cell]  3 Fe 2.63, 3 Se 2.67
Se: 0.0000 0.0000 0.5000 [3 per cell]  6 Mo 2.67, 6 Se 2.95

E_form (uncorrected) (eV per atom): 0.3491

# 7
VASP calculation (PBE-GGA) on crystalline La3LuSe6 at its relaxed geometry.

Cell lengths 14.7622, 17.7643, 4.1894 Å; angles 90.00, 90.00, 90.00 degrees
Closest atoms and distances in Å follow each position.
Space group Pnnm (No. 58)
Asymmetric unit:
La: 0.0481 0.2188 0.0000 [4 per cell]  8 Se 3.05-3.24
La: 0.1812 0.6503 0.0000 [4 per cell]  7 Se 2.96-3.16
La: 0.2489 0.8988 0.5000 [4 per cell]  7 Se 3.01-3.34
Lu: 0.0000 0.0000 0.5000 [2 per cell]  6 Se 2.69-2.85
Lu: 0.0000 0.5000 0.5000 [2 per cell]  6 Se 2.80-2.82
Se: 0.0229 0.3952 0.0000 [4 per cell]  2 Lu 2.82, 2 La 3.12-3.16
Se: 0.0915 0.9222 0.0000 [4 per cell]  2 Lu 2.85, 2 La 3.16
Se: 0.1046 0.7537 0.5000 [4 per cell]  5 La 3.01-3.34
Se: 0.1239 0.1114 0.5000 [4 per cell]  1 Lu 2.69, 1 La 2.96
Se: 0.1861 0.2899 0.5000 [4 per cell]  5 La 3.01-3.18, 1 Se 3.30
Se: 0.1875 0.5227 0.5000 [4 per cell]  1 Lu 2.80, 2 La 3.09

E_form (uncorrected) (eV per atom): -2.0085

# 8
VASP calculation (PBE-GGA) on crystalline NaTlSn at its relaxed geometry.

Cell lengths 5.2219, 4.6383, 14.0664 Å; angles 90.00, 90.00, 90.00 degrees
Closest atoms and distances in Å follow each position.
Space group Amm2 (No. 38)
Asymmetric unit:
Na: 0.0000 0.0000 0.0000 [2 per cell]  4 Sn 3.38-3.44, 6 Tl 3.48-3.49, 2 Na 3.56
Na: 0.5000 0.0000 0.1725 [2 per cell]  4 Tl 3.27-3.32, 6 Sn 3.38-3.49, 2 Na 3.56
Tl: 0.5000 0.0000 0.5041 [2 per cell]  2 Tl 3.30, 6 Na 3.32-3.49, 4 Sn 3.61-3.63
Tl: 0.5000 0.0000 0.8368 [2 per cell]  4 Na 3.27-3.48, 2 Tl 3.30, 6 Sn 3.41-3.50
Sn: 0.0000 0.0000 0.3252 [2 per cell]  2 Sn 3.08, 4 Na 3.38
Sn: 0.0000 0.0000 0.6810 [2 per cell]  2 Sn 3.08, 2 Tl 3.41, 2 Na 3.44

Calculated formation energy (eV/atom): -0.115

# 9
VASP calculation (PBE-GGA) on crystalline CaCd3Ga at its relaxed geometry.

Cell lengths 5.2095, 5.2095, 5.2095 Å; angles 90.00, 90.00, 90.00 degrees
Closest atoms and distances in Å follow each position.
Space group Pm-3m (No. 221)
Asymmetric unit:
Ca: 0.0000 0.0000 0.0000 [1 per cell]  12 Cd 3.68
Cd: 0.0000 0.5000 0.5000 [3 per cell]  2 Ga 2.60
Ga: 0.5000 0.5000 0.5000 [1 per cell]  6 Cd 2.60

ΔE to the lowest computed polymorph (eV per formula unit): 1.38
Calculated formation energy (eV/atom): 0.058

# 10
VASP calculation (PBE-GGA) on crystalline Li6MgPd8 at its relaxed geometry.

Cell lengths 6.9815, 6.9815, 16.3422 Å; angles 90.00, 90.00, 120.00 degrees
Closest atoms and distances in Å follow each position.
Space group R-3 (No. 148, hexagonal axes)
Asymmetric unit:
Li: 0.0332 0.2570 0.3893 [18 per cell]  2 Pd 2.40-2.58, 1 Li 2.44
Mg: 0.0000 0.0000 0.0000 [3 per cell]  6 Pd 2.64
Pd: 0.0000 0.0000 0.2592 [6 per cell]  6 Li 2.58-2.72, 6 Pd 2.82-2.86
Pd: 0.0136 0.7610 0.1224 [18 per cell]  1 Li 2.40, 1 Pd 2.62, 1 Mg 2.64

Calculated formation energy (eV/atom): -0.268

# 11
VASP calculation (PBE-GGA) on crystalline AgN2O2 at its relaxed geometry.

Cell lengths 3.7431, 3.7431, 3.7247 Å; angles 90.00, 90.00, 90.00 degrees
Closest atoms and distances in Å follow each position.
Space group P4/mmm (No. 123)
Asymmetric unit:
Ag: 0.0000 0.0000 0.0000 [1 per cell]  8 N 2.64, 4 O 2.65
N: 0.0000 0.5000 0.5000 [2 per cell]  2 O 1.87
O: 0.5000 0.5000 0.0000 [1 per cell]  2 O 1.86
O: 0.5000 0.5000 0.5000 [1 per cell]  2 O 1.86, 4 N 1.87

ΔE to the lowest computed polymorph (eV per formula unit): 2.81
E_form (uncorrected) (eV per atom): 2.2658

The VASP energy results, record by record, are as follows: -29.55 -92.93 -90.04 -468.82 -114.67 -96.64 -241.18 -32.13 -7.48 -175.93 -18.09 eV per cell.